Record 1
Ac2AsBr | PBE | relaxed Values from VASP.

```
&SYSTEM
  ibrav = 0, nat = 16, ntyp = 3
/
ATOMIC_SPECIES
Ac 227.00 Ac.upf
As 74.92 As.upf
Br 79.90 Br.upf
CELL_PARAMETERS angstrom
7.7727 0.0000 0.0000
0.0000 7.7727 0.0000
0.0000 0.0000 7.7727
ATOMIC_POSITIONS crystal
Ac 0.2500 0.2500 0.2500
Ac 0.2500 0.2500 0.7500
Ac 0.2500 0.7500 0.2500
Ac 0.2500 0.7500 0.7500
Ac 0.7500 0.2500 0.2500
Ac 0.7500 0.2500 0.7500
Ac 0.7500 0.7500 0.2500
Ac 0.7500 0.7500 0.7500
As 0.0000 0.0000 0.0000
As 0.0000 0.5000 0.5000
As 0.5000 0.0000 0.5000
As 0.5000 0.5000 0.0000
Br 0.0000 0.0000 0.5000
Br 0.0000 0.5000 0.0000
Br 0.5000 0.0000 0.0000
Br 0.5000 0.5000 0.5000
```

## Properties
VASP energy (eV/cell): -77.59
Formation energy from raw total energies (meV/atom): -1215
Calculated volume (Å³/atom): 29.349

---

Record 2
Ac2AsBr | PBE | relaxed Values from VASP.

```
&SYSTEM
  ibrav = 0, nat = 12, ntyp = 3
/
ATOMIC_SPECIES
Ac 227.00 Ac.upf
As 74.92 As.upf
Br 79.90 Br.upf
CELL_PARAMETERS angstrom
4.5611 0.0000 0.0000
-2.2805 3.9500 0.0000
0.0000 0.0000 22.1963
ATOMIC_POSITIONS crystal
Ac 0.0000 0.0000 0.2398
Ac 0.0000 0.0000 0.7602
Ac 0.3333 0.6667 0.4269
Ac 0.3333 0.6667 0.9065
Ac 0.6667 0.3333 0.0935
Ac 0.6667 0.3333 0.5731
As 0.0000 0.0000 0.5000
As 0.3333 0.6667 0.1667
As 0.6667 0.3333 0.8333
Br 0.0000 0.0000 0.0000
Br 0.3333 0.6667 0.6667
Br 0.6667 0.3333 0.3333
```

## Properties
VASP energy (eV/cell): -60.61
Formation energy from raw total energies (meV/atom): -1416
Calculated volume (Å³/atom): 33.325

---

Record 3
AcAs2Br8 | PBE | relaxed Values from VASP.

```
&SYSTEM
  ibrav = 0, nat = 11, ntyp = 3
/
ATOMIC_SPECIES
Ac 227.00 Ac.upf
As 74.92 As.upf
Br 79.90 Br.upf
CELL_PARAMETERS angstrom
6.7959 -4.8568 0.0000
6.7959 4.8568 0.0000
-2.7788 0.0000 7.3590
ATOMIC_POSITIONS crystal
Ac 0.0000 0.0000 0.0000
As 0.1610 0.1610 0.6075
As 0.8390 0.8390 0.3925
Br 0.1242 0.7232 0.2207
Br 0.2164 0.2164 0.3212
Br 0.2768 0.8758 0.7793
Br 0.3322 0.3322 0.8174
Br 0.6678 0.6678 0.1826
Br 0.7232 0.1242 0.2207
Br 0.7836 0.7836 0.6788
Br 0.8758 0.2768 0.7793
```

## Properties
VASP energy (eV/cell): -35.77
Formation energy from raw total energies (meV/atom): -816
Calculated volume (Å³/atom): 44.162

---

Record 4
Ac2AsBr | PBE | relaxed Values from VASP.

```
&SYSTEM
  ibrav = 0, nat = 4, ntyp = 3
/
ATOMIC_SPECIES
Ac 227.00 Ac.upf
As 74.92 As.upf
Br 79.90 Br.upf
CELL_PARAMETERS angstrom
3.9033 0.0000 0.0000
0.0000 3.9033 0.0000
0.0000 0.0000 7.7954
ATOMIC_POSITIONS crystal
Ac 0.0000 0.0000 0.2291
Ac 0.0000 0.0000 0.7709
As 0.5000 0.5000 0.0000
Br 0.5000 0.5000 0.5000
```

## Properties
VASP energy (eV/cell): -19.30
Formation energy from raw total energies (meV/atom): -1190
Calculated volume (Å³/atom): 29.692

---

Record 5
CaAcAsBr | PBE | relaxed Values from VASP.

```
&SYSTEM
  ibrav = 0, nat = 16, ntyp = 4
/
ATOMIC_SPECIES
Ca 40.08 Ca.upf
Ac 227.00 Ac.upf
As 74.92 As.upf
Br 79.90 Br.upf
CELL_PARAMETERS angstrom
7.6033 0.0000 0.0000
0.0000 7.6033 0.0000
0.0000 0.0000 7.6033
ATOMIC_POSITIONS crystal
Ca 0.0000 0.0000 0.0000
Ca 0.0000 0.5000 0.5000
Ca 0.5000 0.0000 0.5000
Ca 0.5000 0.5000 0.0000
Ac 0.0000 0.0000 0.5000
Ac 0.0000 0.5000 0.0000
Ac 0.5000 0.0000 0.0000
Ac 0.5000 0.5000 0.5000
As 0.2500 0.2500 0.2500
As 0.2500 0.7500 0.7500
As 0.7500 0.2500 0.7500
As 0.7500 0.7500 0.2500
Br 0.2500 0.2500 0.7500
Br 0.2500 0.7500 0.2500
Br 0.7500 0.2500 0.2500
Br 0.7500 0.7500 0.7500
```

## Properties
VASP energy (eV/cell): -69.29
Formation energy from raw total energies (meV/atom): -1223
Calculated volume (Å³/atom): 27.472

---

Record 6
Ac4CoAsBr2 | PBE | relaxed Values from VASP.

```
&SYSTEM
  ibrav = 0, nat = 8, ntyp = 4
/
ATOMIC_SPECIES
Ac 227.00 Ac.upf
Co 58.93 Co.upf
As 74.92 As.upf
Br 79.90 Br.upf
CELL_PARAMETERS angstrom
8.0489 0.0000 0.0000
0.0000 4.2538 0.0000
-2.3731 0.0000 7.9450
ATOMIC_POSITIONS crystal
Ac 0.2051 0.0000 0.1909
Ac 0.2494 0.5000 0.7903
Ac 0.7506 0.5000 0.2097
Ac 0.7949 0.0000 0.8091
Co 0.0000 0.5000 0.0000
As 0.5000 0.0000 0.0000
Br 0.0000 0.0000 0.5000
Br 0.5000 0.5000 0.5000
```

## Properties
VASP energy (eV/cell): -39.87
Formation energy from raw total energies (meV/atom): -1042
Calculated volume (Å³/atom): 34.003